This record from OQMD via LeMat-Bulk describes a relaxed SmTlHgSe3 crystal. The functional is GGA-PBE. Values from VASP.

Geometry as Quantum ESPRESSO input:
```
&SYSTEM
  ibrav = 0, nat = 12, ntyp = 4
/
ATOMIC_SPECIES
Sm 150.36 Sm.upf
Tl 204.38 Tl.upf
Hg 200.59 Hg.upf
Se 78.96 Se.upf
ATOMIC_POSITIONS angstrom
Sm 2.9342 0.0000 0.8482
Sm 12.8591 0.0000 8.1921
Tl 1.1474 0.0000 5.2357
Tl 14.6458 0.0000 3.8046
Hg 6.8625 0.0000 7.0445
Hg 8.9307 0.0000 1.9958
Se 0.0000 0.0000 0.0000
Se 4.2437 0.0000 6.2184
Se 5.7997 0.0000 1.1430
Se 7.8966 0.0000 4.5202
Se 9.9935 0.0000 7.8973
Se 11.5496 0.0000 2.8219
CELL_PARAMETERS angstrom
9.0466 -2.1221 0.0000
9.0466 2.1221 0.0000
-2.3000 0.0000 9.0403
```

Summary:
VASP energy (eV/atom): -3.861
Offset from the most stable computed form (meV per atom): 54
ρ (g/cm³): 7.58